DFT (PBE with a Hubbard U) results for a geometry-optimized ZrTcMoF structure.

Geometry as extended XYZ:
```
8
Lattice="-4.015 -2.234 7.166 -1.444 -2.378 -1.550 3.987 -2.591 0.260" Properties=species:S:1:pos:R:3 pbc="T T T"
Mo 3.113 -2.349 0.704
Mo 0.397 -2.243 -0.202
Tc 0.474 -1.812 2.338
Tc 1.745 -4.296 1.693
Zr -2.297 -1.356 4.220
Zr -1.026 -3.841 3.575
F -0.180 -3.660 5.781
F -2.895 -3.553 4.876
```

Distance to the lowest polymorph of the same formula   0.144 eV per atom